[1]
# As2SO6

A relaxed As2SO6 crystal (PBE, Alexandria via LeMat-Bulk).

The structure belongs to space group P2_12_12 (No. 18); the cell edges are 4.857, 11.569 and 5.106 Å and the angles 90.00°, 90.00° and 90.00°. The distinct sites, in fractional coordinates, are As at (0.236, 0.192, 0.170), S at (0.000, 0.500, 0.193), O at (0.082, 0.258, 0.878), O at (0.113, 0.405, 0.346) and O at (0.228, 0.544, 0.006).

Its crystal system is orthorhombic. For the raw formation energy, the calculation gives -1.2204 eV/atom.

[2]
# PmGdTcPd

A relaxed PmGdTcPd crystal (PBE, Alexandria via LeMat-Bulk).

The structure belongs to space group F-43m (No. 216); the cell edges are 7.024, 7.024 and 7.024 Å and the angles 90.00°, 90.00° and 90.00°. The distinct sites, in fractional coordinates, are Pm at (0.000, 0.000, 0.000), Gd at (0.000, 0.000, 0.500), Tc at (0.250, 0.250, 0.750) and Pd at (0.250, 0.250, 0.250).

For the formation energy, the calculation gives -0.2593 eV/atom. Its crystal system is cubic.

[3]
# Pm4Pa2Rh5

A relaxed Pm4Pa2Rh5 crystal (PBE, Alexandria via LeMat-Bulk).

The structure belongs to space group Ibam (No. 72); the cell edges are 8.648, 18.671 and 6.380 Å and the angles 90.00°, 90.00° and 90.00°. The distinct sites, in fractional coordinates, are Pm at (0.115, 0.136, 0.000), Pm at (0.238, 0.446, 0.000), Pa at (0.000, 0.300, 0.250), Rh at (0.000, 0.000, 0.250), Rh at (0.079, 0.412, 0.500) and Rh at (0.190, 0.219, 0.500).

For the formation energy, the calculation gives -0.6336 eV/atom. Its crystal system is orthorhombic.

[4]
# Pu2TcGe

A relaxed Pu2TcGe crystal (PBE, Alexandria via LeMat-Bulk).

The structure belongs to space group P4/mmm (No. 123); the cell edges are 3.743, 3.743 and 5.676 Å and the angles 90.00°, 90.00° and 90.00°. The distinct sites, in fractional coordinates, are Pu at (0.000, 0.000, 0.246), Tc at (0.500, 0.500, 0.500) and Ge at (0.500, 0.500, 0.000).

For the formation energy, the calculation gives -0.2181 eV/atom. The energy above the most stable polymorph in this dataset is 0.000 eV/atom. Its crystal system is tetragonal.

| no. | total DFT energy (no corrections) (eV per atom) | DOS(E_F) (states/eV/cell) |
| --- | --- | --- |
| 1 | -6.018 | 0.00 |
| 2 | -8.857 | 11.72 |
| 3 | -7.429 | 43.31 |
| 4 | -11.130 | 9.31 |